The following is a PBE calculation of a relaxed NaMg2Cd crystal, from Alexandria.

Lattice parameters (Å, degrees): 4.431 4.431 21.864 90.00 90.00 90.00
Sites, in units of the cell vectors:
Na (0.000, 0.000, 0.000)
Na (0.000, 0.500, 0.250)
Na (0.500, 0.000, 0.750)
Na (0.500, 0.500, 0.500)
Mg (0.237, 0.250, 0.625)
Mg (0.250, 0.737, 0.875)
Mg (0.250, 0.763, 0.375)
Mg (0.263, 0.250, 0.125)
Mg (0.737, 0.750, 0.125)
Mg (0.750, 0.237, 0.375)
Mg (0.750, 0.263, 0.875)
Mg (0.763, 0.750, 0.625)
Cd (0.000, 0.000, 0.500)
Cd (0.000, 0.500, 0.750)
Cd (0.500, 0.000, 0.250)
Cd (0.500, 0.500, 0.000)

Calculated density   2.847 g/cm³
VASP energy   -19.23 eV per cell
Space-group type   I-42d, No. 122
E_form   154 meV/atom



The following is a PBE calculation of a relaxed Rb2HgTeH crystal, from Alexandria.

Lattice parameters (Å, degrees): 6.028 6.028 4.325 90.00 90.00 90.00
Sites, in units of the cell vectors:
Rb (0.000, 0.500, 0.000)
Rb (0.500, 0.000, 0.000)
Hg (0.000, 0.000, 0.500)
Te (0.500, 0.500, 0.500)
H (0.000, 0.000, 0.000)

Calculated density   5.285 g/cm³
VASP energy   -10.76 eV per cell
Space-group type   P4/mmm, No. 123



The following is a PBE calculation of a relaxed PaZnCdIn crystal, from Alexandria.

Lattice parameters (Å, degrees): 7.122 7.122 7.122 90.00 90.00 90.00
Sites, in units of the cell vectors:
Pa (0.000, 0.000, 0.000)
Pa (0.000, 0.500, 0.500)
Pa (0.500, 0.000, 0.500)
Pa (0.500, 0.500, 0.000)
Zn (0.250, 0.250, 0.250)
Zn (0.250, 0.750, 0.750)
Zn (0.750, 0.250, 0.750)
Zn (0.750, 0.750, 0.250)
Cd (0.000, 0.000, 0.500)
Cd (0.000, 0.500, 0.000)
Cd (0.500, 0.000, 0.000)
Cd (0.500, 0.500, 0.500)
In (0.250, 0.250, 0.750)
In (0.250, 0.750, 0.250)
In (0.750, 0.250, 0.250)
In (0.750, 0.750, 0.750)

Calculated density   9.630 g/cm³
VASP energy   -55.98 eV per cell
Space-group type   F-43m, No. 216
E_form   107 meV/atom



The following is a PBE calculation of a relaxed Mo2Se3 crystal, from Alexandria.

Lattice parameters (Å, degrees): 5.406 5.406 7.288 97.89 97.89 63.93
Sites, in units of the cell vectors:
Mo (0.121, 0.673, 0.936)
Mo (0.327, 0.879, 0.564)
Mo (0.673, 0.121, 0.436)
Mo (0.879, 0.327, 0.064)
Se (0.088, 0.912, 0.250)
Se (0.242, 0.378, 0.615)
Se (0.378, 0.242, 0.115)
Se (0.622, 0.758, 0.885)
Se (0.758, 0.622, 0.385)
Se (0.912, 0.088, 0.750)

Calculated density   7.543 g/cm³
VASP energy   -65.86 eV per cell
Formation energy without anion corrections   -0.16 eV per atom
Space-group type   C2/c, No. 15



The following is a PBE calculation of a relaxed K3CdHg2 crystal, from Alexandria.

Lattice parameters (Å, degrees): 8.340 8.340 8.340 74.27 74.27 74.27
Sites, in units of the cell vectors:
K (0.079, 0.750, 0.421)
K (0.250, 0.579, 0.921)
K (0.421, 0.079, 0.750)
K (0.579, 0.921, 0.250)
K (0.750, 0.421, 0.079)
K (0.921, 0.250, 0.579)
Cd (0.000, 0.000, 0.000)
Cd (0.500, 0.500, 0.500)
Hg (0.165, 0.165, 0.165)
Hg (0.335, 0.335, 0.335)
Hg (0.665, 0.665, 0.665)
Hg (0.835, 0.835, 0.835)

Calculated density   3.990 g/cm³
Polymorph energy (0 for the lowest one)   14 meV per atom
VASP energy   -11.41 eV per cell
Space-group type   R-3c, No. 167
E_form   -149 meV/atom



The following is a PBE calculation of a relaxed Mg2Sb crystal, from Alexandria.

Lattice parameters (Å, degrees): 5.650 5.650 5.245 90.00 90.00 120.00
Sites, in units of the cell vectors:
Mg (0.000, 0.000, 0.000)
Mg (0.000, 0.335, 0.500)
Mg (0.335, 0.000, 0.500)
Mg (0.665, 0.665, 0.500)
Sb (0.333, 0.667, 0.000)
Sb (0.667, 0.333, 0.000)

Calculated density   3.902 g/cm³
VASP energy   -14.91 eV per cell
Formation energy without anion corrections   -0.05 eV per atom
Space-group type   P-62m, No. 189



The following is a PBE calculation of a relaxed Th2Ga6Ni3 crystal, from Alexandria.

Lattice parameters (Å, degrees): 7.582 7.582 4.001 90.00 90.00 120.00
Sites, in units of the cell vectors:
Th (0.333, 0.667, 0.000)
Th (0.667, 0.333, 0.000)
Ga (0.000, 0.308, 0.500)
Ga (0.000, 0.804, 0.000)
Ga (0.196, 0.196, 0.000)
Ga (0.308, 0.000, 0.500)
Ga (0.692, 0.692, 0.500)
Ga (0.804, 0.000, 0.000)
Ni (0.000, 0.630, 0.500)
Ni (0.370, 0.370, 0.500)
Ni (0.630, 0.000, 0.500)

Calculated density   8.824 g/cm³
VASP energy   -55.98 eV per cell
Space-group type   P-62m, No. 189
E_form   -512 meV/atom



The following is a PBE calculation of a relaxed Al2CuOsRh crystal, from Alexandria.

Lattice parameters (Å, degrees): 4.561 4.561 4.762 90.00 90.00 90.00
Sites, in units of the cell vectors:
Al (0.000, 0.500, 0.000)
Al (0.500, 0.000, 0.000)
Cu (0.000, 0.000, 0.500)
Os (0.500, 0.500, 0.500)
Rh (0.500, 0.500, 0.000)

Calculated density   6.881 g/cm³
VASP energy   -25.65 eV per cell
Space-group type   P4/mmm, No. 123
E_form   902 meV/atom